Entry 1:
! PmPuRuPb, optimized geometry, DFT PBE; values from VASP
! - Symmetry: No. 99
! - Formation enthalpy at 0 K: -239.3 meV per atom
! - Excess energy over the best structure of this formula in the dataset: 0.000 eV per atom
&SYSTEM
  ibrav = 0, nat = 4, ntyp = 4
/
ATOMIC_SPECIES
Pm 145.00 Pm.upf
Pu 244.00 Pu.upf
Ru 101.07 Ru.upf
Pb 207.20 Pb.upf
CELL_PARAMETERS angstrom
3.369 0.000 0.000
0.000 3.369 0.000
0.000 0.000 8.771
ATOMIC_POSITIONS crystal
Pm 0.000 0.000 0.000
Pu 0.000 0.000 0.601
Ru 0.500 0.500 0.789
Pb 0.500 0.500 0.303


Entry 2:
! Mn2S, optimized geometry, DFT PBE; values from VASP
! - Symmetry: No. 216
! - Raw formation energy: -27 kJ/mol of formula units
&SYSTEM
  ibrav = 0, nat = 3, ntyp = 2
/
ATOMIC_SPECIES
Mn 54.94 Mn.upf
S 32.06 S.upf
CELL_PARAMETERS angstrom
0.000 2.687 2.687
2.687 0.000 2.687
2.687 2.687 0.000
ATOMIC_POSITIONS crystal
Mn 0.000 0.000 0.000
Mn 0.250 0.250 0.250
S 0.500 0.500 0.500


Entry 3:
! TlCd9Sn2, optimized geometry, DFT PBE; values from VASP
! - Symmetry: No. 191
! - Formation enthalpy at 0 K: 67.5 meV per atom
&SYSTEM
  ibrav = 0, nat = 12, ntyp = 3
/
ATOMIC_SPECIES
Tl 204.38 Tl.upf
Cd 112.41 Cd.upf
Sn 118.71 Sn.upf
CELL_PARAMETERS angstrom
10.146 0.000 0.000
-5.073 8.786 0.000
0.000 0.000 3.431
ATOMIC_POSITIONS crystal
Tl 0.000 0.000 0.000
Cd 0.000 0.500 0.000
Cd 0.173 0.347 0.500
Cd 0.173 0.827 0.500
Cd 0.347 0.173 0.500
Cd 0.500 0.000 0.000
Cd 0.500 0.500 0.000
Cd 0.653 0.827 0.500
Cd 0.827 0.173 0.500
Cd 0.827 0.653 0.500
Sn 0.333 0.667 0.000
Sn 0.667 0.333 0.000


Entry 4:
! Sr3Cd3Hg8, optimized geometry, DFT PBE; values from VASP
! - Symmetry: No. 71
! - Formation enthalpy at 0 K: -342.0 meV per atom
&SYSTEM
  ibrav = 0, nat = 14, ntyp = 3
/
ATOMIC_SPECIES
Sr 87.62 Sr.upf
Cd 112.41 Cd.upf
Hg 200.59 Hg.upf
CELL_PARAMETERS angstrom
-2.522 5.043 7.503
2.522 -5.043 7.503
2.522 5.043 -7.503
ATOMIC_POSITIONS crystal
Sr 0.000 0.000 0.000
Sr 0.288 0.288 0.000
Sr 0.712 0.712 0.000
Cd 0.329 0.500 0.829
Cd 0.500 0.000 0.500
Cd 0.671 0.500 0.171
Hg 0.011 0.655 0.357
Hg 0.154 0.860 0.295
Hg 0.298 0.655 0.643
Hg 0.435 0.140 0.295
Hg 0.565 0.860 0.705
Hg 0.702 0.345 0.357
Hg 0.846 0.140 0.705
Hg 0.989 0.345 0.643


It is found that the uncorrected energy values, taken in the order of the records, are -8.256; -7.582; -1.483; -1.071 eV per atom.